The following is a DFT calculation (GGA-PBE) of a relaxed structure of Ca3Ga8Rh3.

Lattice parameters (Å, degrees): 4.257 8.285 8.285 72.10 75.11 75.11
Fractional positions:
1 Ca 0.500 0.500 0.500
2 Ca 0.827 0.173 0.173
3 Ca 0.173 0.827 0.827
4 Ga 0.618 0.095 0.669
5 Ga 0.382 0.905 0.331
6 Ga 0.618 0.669 0.095
7 Ga 0.382 0.331 0.905
8 Ga 0.828 0.810 0.533
9 Ga 0.172 0.190 0.467
10 Ga 0.828 0.533 0.810
11 Ga 0.172 0.467 0.190
12 Rh 0.500 0.000 0.000
13 Rh 0.000 0.774 0.226
14 Rh 0.000 0.226 0.774

Results
ΔE_f (eV/atom): -0.575

The following is a DFT calculation (GGA-PBE) of a relaxed structure of Nb5N2O2.

Lattice parameters (Å, degrees): 5.445 5.445 6.848 51.49 51.49 47.28
Fractional positions:
1 Nb 0.418 0.418 0.379
2 Nb 0.232 0.232 0.175
3 Nb 0.002 0.002 0.022
4 Nb 0.778 0.778 0.859
5 Nb 0.597 0.597 0.550
6 N 0.515 0.515 0.962
7 N 0.302 0.302 0.791
8 O 0.096 0.096 0.612
9 O 0.859 0.859 0.450

Results
Formation energy (no corrections) (eV/atom): -1.173

The following is a DFT calculation (GGA-PBE) of a relaxed structure of LaZrAs.

Lattice parameters (Å, degrees): 6.608 3.858 11.985 90.00 91.10 90.00
Fractional positions:
1 As 0.624 0.000 0.924
2 As 0.624 0.500 0.424
3 As 0.054 0.000 0.682
4 As 0.054 0.500 0.182
5 Zr 0.998 0.000 0.027
6 Zr 0.998 0.500 0.527
7 Zr 0.848 0.000 0.320
8 Zr 0.848 0.500 0.820
9 La 0.562 0.000 0.626
10 La 0.562 0.500 0.126
11 La 0.300 0.000 0.331
12 La 0.300 0.500 0.831

Results
Energy above the lowest structure with this stoichiometry (eV per formula unit): 0.57
ΔE_f (eV/atom): -0.807

The following is a DFT calculation (GGA-PBE) of a relaxed structure of NaPdBr3.

Lattice parameters (Å, degrees): 5.394 5.394 5.394 90.00 90.00 90.00
Last column: magnetic moment on the atom in μB.
Fractional positions:
1 Na 0.000 0.000 0.000  0.00
2 Br 0.000 0.500 0.000  0.39
3 Br 0.000 0.000 0.500  0.26
4 Br 0.500 0.000 0.000  0.28
5 Pd 0.500 0.500 0.500  0.77

Results
Formation energy (no corrections) (eV/atom): 0.118
Energy above the lowest structure with this stoichiometry (eV per formula unit): 4.50

The following is a DFT calculation (GGA-PBE) of a relaxed structure of Sc2VSiH.

Lattice parameters (Å, degrees): 4.344 4.344 3.789 90.00 90.00 90.00
Last column: magnetic moment on the atom in μB.
Fractional positions:
1 Sc 0.000 0.500 0.000  0.02
2 Sc 0.500 0.000 0.000  0.02
3 H 0.000 0.000 0.000  0.00
4 Si 0.500 0.500 0.500  -0.02
5 V 0.000 0.000 0.500  1.04

Results
Electronic total energy (eV per atom): -6.463

The following is a DFT calculation (GGA-PBE) of a relaxed structure of AgBiAs3.

Lattice parameters (Å, degrees): 5.037 5.037 5.037 90.00 90.00 90.00
Fractional positions:
1 As 0.000 0.500 0.000
2 As 0.000 0.000 0.500
3 As 0.500 0.000 0.000
4 Bi 0.500 0.500 0.500
5 Ag 0.000 0.000 0.000

Results
Energy above the lowest structure with this stoichiometry (eV per formula unit): 0.00
ΔE_f (eV/atom): 0.736

The following is a DFT calculation (GGA-PBE) of a relaxed structure of CaSnI2N.

Lattice parameters (Å, degrees): 6.142 6.142 4.548 90.00 90.00 90.00
Last column: magnetic moment on the atom in μB.
Fractional positions:
1 I 0.000 0.500 0.000  0.03
2 I 0.500 0.000 0.000  0.03
3 Ca 0.000 0.000 0.000  0.00
4 Sn 0.500 0.500 0.500  -0.20
5 N 0.000 0.000 0.500  1.09

Results
Formation energy (no corrections) (eV/atom): 0.163
Energy above the lowest structure with this stoichiometry (eV per formula unit): 0.88

The following is a DFT calculation (GGA-PBE) of a relaxed structure of NdNiRh2.

Lattice parameters (Å, degrees): 5.342 5.342 8.914 72.56 72.56 60.00
Fractional positions:
1 Nd 0.860 0.860 0.420
2 Nd 0.140 0.140 0.580
3 Nd 0.000 0.000 0.000
4 Ni 0.667 0.667 0.999
5 Ni 0.333 0.333 0.001
6 Ni 0.500 0.500 0.500
7 Rh 0.419 0.419 0.243
8 Rh 0.919 0.419 0.243
9 Rh 0.419 0.919 0.243
10 Rh 0.581 0.581 0.757
11 Rh 0.581 0.081 0.757
12 Rh 0.081 0.581 0.757

Results
ΔE_f (eV/atom): -0.489

Number 1: magnetization 0.00 μB per cell. Number 2: magnetization 0.00 μB per cell. Number 3: magnetization 0.00 μB per cell. Number 4: magnetization 2.00 μB per cell. Number 5: magnetization 1.28 μB per cell. Number 6: magnetization 0.00 μB per cell. Number 7: magnetization 1.34 μB per cell. Number 8: magnetization 0.00 μB per cell.